The following is a PBE-GGA calculation of crystalline Ga2Os2W at its relaxed geometry, from Alexandria.

raw total energy: -79.89 eV for the cell shown
space-group type: No. 127
polymorph energy (0 for the lowest one): 0.0 meV per atom
formation energy: 29.37 kJ/mol of atoms
crystal system: tetragonal

Cell lengths 7.174, 7.174, 2.882 Å; angles 90.00, 90.00, 90.00 degrees
Fractional coordinates of all 10 atoms:
Ga 0.127 0.373 0.000
Ga 0.373 0.873 0.000
Ga 0.627 0.127 0.000
Ga 0.873 0.627 0.000
Os 0.173 0.673 0.500
Os 0.327 0.173 0.500
Os 0.673 0.827 0.500
Os 0.827 0.327 0.500
W 0.000 0.000 0.000
W 0.500 0.500 0.000